Material: NiBiOs3
Method: DFT, GGA-PBE
State: optimized geometry

a = 4.524 Å, b = 4.524 Å, c = 4.524 Å
α = 90.00°, β = 90.00°, γ = 90.00°
Element x y z (fractional)
Ni1 0.000 0.000 0.000
Bi1 0.500 0.500 0.500
Os1 0.000 0.000 0.500
Os2 0.000 0.500 0.000
Os3 0.500 0.000 0.000

Output
E above lowest polymorph	0.000	eV per atom
ΔE_f	1.7504	eV/atom
N(E_F)	1.787	states/eV/atom
space group	Pm-3m
VASP energy	-6.92	eV/atom